First-principles (PBE-GGA) data for an optimized crystal structure of PmMgAgTe3, as listed in Alexandria.

Summary:
The crystal system is monoclinic.

CIF file:
```
data_PmMgAgTe3
_chemical_formula_sum 'Pm2 Mg2 Ag2 Te6'
_space_group_name_H-M_alt 'P 1 21/m 1'
_space_group_IT_number 11
_cell_length_a 8.5008
_cell_length_b 4.2753
_cell_length_c 9.6479
_cell_angle_alpha 90.00
_cell_angle_beta 102.97
_cell_angle_gamma 90.00
loop_
_space_group_symop_operation_xyz
'x,y,z'
'-x,-y,-z'
'-x,y+1/2,-z'
'x,-y+1/2,z'
loop_
_atom_site_label
_atom_site_fract_x
_atom_site_fract_y
_atom_site_fract_z
Pm1 0.1892 0.2500 0.2480
Mg1 0.3344 0.7500 0.8359
Ag1 0.0841 0.2500 0.5826
Te1 0.0907 0.2500 0.8752
Te2 0.2770 0.7500 0.5109
Te3 0.4186 0.7500 0.1458
```


First-principles (PBE-GGA) data for an optimized crystal structure of SrCuS2Cl, as listed in Alexandria.

Summary:
The density of states at the Fermi level comes out at 0.25 states/eV per atom. The crystal system is tetragonal.

CIF file:
```
data_SrCuS2Cl
_chemical_formula_sum 'Sr1 Cu1 S2 Cl1'
_space_group_name_H-M_alt 'P 4/m m m'
_space_group_IT_number 123
_space_group_name_Hall '-P 4 2'
_cell_length_a 4.5264
_cell_length_b 4.5264
_cell_length_c 5.2633
_cell_angle_alpha 90.00
_cell_angle_beta 90.00
_cell_angle_gamma 90.00
loop_
_atom_site_label
_atom_site_fract_x
_atom_site_fract_y
_atom_site_fract_z
Sr1 0.0000 0.0000 0.0000
Cu1 0.5000 0.5000 0.5000
S1 0.0000 0.5000 0.5000
Cl1 0.5000 0.5000 0.0000
```


First-principles (PBE-GGA) data for an optimized crystal structure of Pr4RhS2Br, as listed in Alexandria.

Summary:
The density of states at the Fermi level comes out at 0.67 states/eV per atom. The crystal system is monoclinic.

CIF file:
```
data_Pr4RhS2Br
_chemical_formula_sum 'Pr4 Rh1 S2 Br1'
_space_group_name_H-M_alt 'P 1 2/m 1'
_space_group_IT_number 10
_cell_length_a 7.3453
_cell_length_b 4.0616
_cell_length_c 7.3715
_cell_angle_alpha 90.00
_cell_angle_beta 108.38
_cell_angle_gamma 90.00
loop_
_space_group_symop_operation_xyz
'x,y,z'
'-x,-y,-z'
'-x,y,-z'
'x,-y,z'
loop_
_atom_site_label
_atom_site_fract_x
_atom_site_fract_y
_atom_site_fract_z
Pr1 0.2255 0.0000 0.2275
Pr2 0.2513 0.5000 0.7681
Rh1 0.5000 0.0000 0.0000
S1 0.0000 0.0000 0.5000
S2 0.0000 0.5000 0.0000
Br1 0.5000 0.5000 0.5000
```


Formation energy without anion corrections values (in kJ per mole of atoms) by entry order: -85.72 -87.06 -139.07.